VASP calculation (GGA-PBE) on crystalline Al3Se5 at its relaxed geometry.

Output
Distance to the lowest polymorph of the same formula, kJ/mol of formula units: 0.0
Calculated volume, Å³ per atom: 29.048
Formation energy without anion corrections, eV per atom: -0.60

a b c (Å): 7.8815 7.2816 9.9243
angles (deg): 100.71 103.29 117.12
With the nearest neighbours (Å) after each atom.
Sites, in units of the cell vectors:
Al  0.8603  0.8072  0.2000  4 Se 2.36-2.59
Al  0.1604  0.1072  0.8000  4 Se 2.36-2.59
Al  0.3863  0.2195  0.5000  4 Se 2.34-2.45
Al  0.5805  0.9752  0.5000  4 Se 2.32-2.46
Al  0.3551  0.6843  0.8920  4 Se 2.32-2.48
Al  0.9631  0.2922  0.1080  4 Se 2.32-2.48
Se  0.2428  0.8498  0.5000  2 Al 2.39-2.40
Se  0.7166  0.3328  0.5000  2 Al 2.32-2.34
Se  0.7278  0.8932  0.9761  3 Al 2.44-2.54
Se  0.1734  0.8570  0.9171  2 Al 2.32-2.36
Se  0.6355  0.7058  0.3586  2 Al 2.46-2.59, 1 Se 2.57
Se  0.2995  0.3818  0.6922  3 Al 2.38-2.46
Se  0.7563  0.4399  0.0829  2 Al 2.32-2.36
Se  0.2517  0.4172  0.0239  3 Al 2.44-2.54
Se  0.1073  0.1896  0.3078  3 Al 2.38-2.46
Se  0.7768  0.8472  0.6414  2 Al 2.46-2.59, 1 Se 2.57